A plane-wave DFT calculation with PBE-GGA was carried out for a relaxed structure of Hg2Pb13.

Properties
Energy relative to the elements: 0.008 eV per atom

Unit cell a=6.1650 b=7.9457 c=10.2808 alpha=71.69 beta=74.41 gamma=83.09
Space group P-1 (No. 2)
Asymmetric unit:
Hg 0.1341 0.3026 0.4665 (multiplicity 2)
Pb 0.0000 0.5000 0.0000 (multiplicity 1)
Pb 0.0572 0.9037 0.7251 (multiplicity 2)
Pb 0.2067 0.6970 0.2028 (multiplicity 2)
Pb 0.2618 0.0975 0.9340 (multiplicity 2)
Pb 0.3176 0.4985 0.6623 (multiplicity 2)
Pb 0.4075 0.8987 0.3990 (multiplicity 2)
Pb 0.4687 0.3043 0.1375 (multiplicity 2)

---

A plane-wave DFT calculation with PBE-GGA was carried out for a relaxed structure of RbBH2.

Properties
Calculated total energy: -0.13413 hartree per atom

Unit cell a=3.2434 b=4.2697 c=9.0831 alpha=103.07 beta=98.60 gamma=90.19
Space group P1 (No. 1)
Asymmetric unit:
Rb 0.0000 0.0000 0.0000 (multiplicity 1)
Rb 0.1853 0.7200 0.4208 (multiplicity 1)
B 0.3594 0.4003 0.7257 (multiplicity 1)
B 0.8150 0.3571 0.6494 (multiplicity 1)
H 0.4285 0.4553 0.8670 (multiplicity 1)
H 0.5726 0.5785 0.1658 (multiplicity 1)
H 0.5998 0.1307 0.6931 (multiplicity 1)
H 0.7392 0.2638 0.5063 (multiplicity 1)

---

A plane-wave DFT calculation with PBE-GGA was carried out for a relaxed structure of Tb8GeSe3S4.

Properties
Calculated total energy: -0.22438 hartree per atom

Unit cell a=8.0446 b=8.0446 c=19.7848 alpha=90.00 beta=90.00 gamma=120.00
Space group R-3m (No. 166, hexagonal axes)
Asymmetric unit:
Tb 0.0000 0.0000 0.2418 (multiplicity 6)
Tb 0.0096 0.5048 0.7544 (multiplicity 18)
Ge 0.0000 0.0000 0.0000 (multiplicity 3)
Se 0.0000 0.5000 0.0000 (multiplicity 9)
S 0.0000 0.0000 0.5000 (multiplicity 3)
S 0.0000 0.5000 0.5000 (multiplicity 9)

---

A plane-wave DFT calculation with PBE-GGA was carried out for a relaxed structure of LiBi2F.

Properties
Calculated total energy: -0.12875 hartree per atom

Unit cell a=4.3895 b=4.3895 c=21.3775 alpha=90.00 beta=90.00 gamma=90.00
Space group I-42d (No. 122)
Asymmetric unit:
Li 0.0000 0.0000 0.0000 (multiplicity 4)
Bi 0.2393 0.2500 0.1250 (multiplicity 8)
F 0.0000 0.0000 0.5000 (multiplicity 4)

---

A plane-wave DFT calculation with PBE-GGA was carried out for a relaxed structure of HgSb2Se2I2.

Properties
Calculated total energy: -0.10205 hartree per atom

Unit cell a=6.2308 b=6.6671 c=6.9236 alpha=81.26 beta=87.48 gamma=66.95
Space group P-1 (No. 2)
Asymmetric unit:
Hg 0.0000 0.0000 0.0000 (multiplicity 1)
Sb 0.2992 0.5866 0.2022 (multiplicity 2)
Se 0.3232 0.3587 0.9170 (multiplicity 2)
I 0.2535 0.9928 0.5000 (multiplicity 2)

---

A plane-wave DFT calculation with PBE-GGA was carried out for a relaxed structure of YHf.

Properties
Energy relative to the elements: 2.472 eV per atom

Unit cell a=6.5163 b=6.5163 c=6.5163 alpha=90.00 beta=90.00 gamma=90.00
Space group F-43m (No. 216)
Asymmetric unit:
Y 0.0000 0.0000 0.0000 (multiplicity 4)
Hf 0.2500 0.2500 0.7500 (multiplicity 4)

---

The calculated volume results, record by record, are as follows: 460.2, 121.1, 1108.8, 411.9, 261.5, 276.7 Å³/cell.
The total magnetization results, record by record, are as follows: 0.00, 0.00, 0.00, 0.00, 0.00, 0.00 μB/atom.
The ρ results, record by record, are as follows: 11.2, 2.7, 7.7, 7.2, 5.4, 6.4 g/cm³.